Tb6CePm | GGA-PBE | relaxed

Calculated values
Calculated formation energy   0.042 eV/atom
V   32.05 A^3/atom

Lattice parameters (Å, degrees): 5.0441 5.0441 10.0781 90.00 90.00 90.00
Closest atoms and distances in Å follow each position.
Space group P4/mmm (No. 123)
Inequivalent atoms, fractional coordinates:
Tb 0.0000 0.0000 0.0000 (multiplicity 1)  8 Tb 3.54, 4 Ce 3.57
Tb 0.0000 0.0000 0.5000 (multiplicity 1)  4 Pm 3.57, 8 Tb 3.59
Tb 0.0000 0.5000 0.2470 (multiplicity 4)  8 Tb 3.54-3.59, 2 Ce 3.54, 2 Pm 3.59
Ce 0.5000 0.5000 0.0000 (multiplicity 1)  12 Tb 3.54-3.57
Pm 0.5000 0.5000 0.5000 (multiplicity 1)  12 Tb 3.57-3.59

Tb10CePm4 | GGA-PBE | relaxed

Calculated values
Calculated formation energy   0.252 eV/atom
V   33.72 A^3/atom

Lattice parameters (Å, degrees): 11.2360 11.2360 8.0139 90.00 90.00 90.00
Closest atoms and distances in Å follow each position.
Space group I4/mmm (No. 139)
Inequivalent atoms, fractional coordinates:
Tb 0.0000 0.2071 0.2066 (multiplicity 16)  4 Tb 3.29-3.31, 1 Ce 3.31, 4 Pm 3.47-3.57
Tb 0.0000 0.5000 0.2500 (multiplicity 4)  4 Tb 3.31
Ce 0.0000 0.0000 0.5000 (multiplicity 2)  8 Tb 3.31, 4 Pm 3.60
Pm 0.2263 0.2263 0.5000 (multiplicity 8)  8 Tb 3.47-3.57, 1 Ce 3.60

Tb5Ce2Pm5 | GGA-PBE | relaxed

Calculated values
Calculated formation energy   0.051 eV/atom
V   32.66 A^3/atom

Lattice parameters (Å, degrees): 5.0602 8.0113 10.7955 98.52 103.55 108.35
Closest atoms and distances in Å follow each position.
Space group P-1 (No. 2)
Inequivalent atoms, fractional coordinates:
Tb 0.0000 0.0000 0.0000 (multiplicity 1)  6 Pm 3.57, 2 Tb 3.57, 4 Ce 3.62
Tb 0.3313 0.4161 0.2463 (multiplicity 2)  3 Ce 3.53-3.56, 6 Pm 3.56-3.62, 3 Tb 3.57-3.64
Tb 0.3337 0.1660 0.5014 (multiplicity 2)  4 Tb 3.57-3.64, 8 Pm 3.59-3.64
Ce 0.3292 0.6595 0.9990 (multiplicity 2)  2 Ce 3.51, 5 Pm 3.51-3.63, 5 Tb 3.53-3.62
Pm 0.0000 0.5000 0.5000 (multiplicity 1)  8 Tb 3.59-3.62, 4 Pm 3.61
Pm 0.0038 0.2534 0.7542 (multiplicity 2)  3 Ce 3.51-3.57, 6 Tb 3.56-3.64, 3 Pm 3.60-3.61
Pm 0.3345 0.9161 0.7530 (multiplicity 2)  7 Tb 3.57-3.62, 2 Ce 3.59-3.63, 3 Pm 3.60-3.61

Tb3CePm8 | GGA-PBE | relaxed

Calculated values
Calculated formation energy   0.555 eV/atom
V   36.33 A^3/atom

Lattice parameters (Å, degrees): 8.7156 8.7156 11.4773 90.00 90.00 90.00
Closest atoms and distances in Å follow each position.
Space group I-42m (No. 121)
Inequivalent atoms, fractional coordinates:
Tb 0.0000 0.0000 0.0000 (multiplicity 2)  8 Pm 3.25-3.33
Tb 0.0000 0.5000 0.2500 (multiplicity 4)  4 Pm 3.46
Ce 0.0000 0.0000 0.5000 (multiplicity 2)  8 Pm 2.93-3.15
Pm 0.1219 0.1219 0.2588 (multiplicity 8)  3 Pm 3.00-3.31, 1 Ce 3.15, 1 Tb 3.33
Pm 0.2372 0.2372 0.5198 (multiplicity 8)  1 Ce 2.93, 1 Tb 3.25, 1 Pm 3.25

Tb8CePm4 | GGA-PBE | relaxed

Calculated values
Calculated formation energy   0.516 eV/atom
V   36.66 A^3/atom

Lattice parameters (Å, degrees): 11.0555 11.0555 13.5085 90.00 90.00 120.00
Closest atoms and distances in Å follow each position.
Space group R-3m (No. 166, hexagonal axes)
Inequivalent atoms, fractional coordinates:
Tb 0.0000 0.0000 0.2413 (multiplicity 6)  4 Pm 3.26-3.43, 1 Ce 3.50
Tb 0.0115 0.5058 0.7466 (multiplicity 18)  4 Pm 3.27-3.42, 1 Ce 3.50
Ce 0.0000 0.0000 0.5000 (multiplicity 3)  8 Tb 3.50, 6 Pm 3.91
Pm 0.0000 0.0000 0.0000 (multiplicity 3)  8 Tb 3.26-3.27
Pm 0.0000 0.5000 0.0000 (multiplicity 9)  8 Tb 3.42-3.43